DFT (meta-GGA SCAN) results for a PBEsol-optimized structure of PIr2Au.

Output
Calculated formation energy in eV/atom: 0.074
Uncorrected energy in eV/atom: -55.365
Symmetry: Imm2 (44)
DOS at the Fermi energy in states/eV/f.u.: 1.649

Cell lengths 2.8602, 3.1296, 7.2270 Å; angles 102.50, 101.41, 90.00 degrees
Sites, in units of the cell vectors:
Ir 0.8268 0.3268 0.6536
Ir 0.0281 0.0281 0.0562
P 0.4536 0.4536 0.9072
Au 0.1915 0.6915 0.3829


DFT (meta-GGA SCAN) results for a PBEsol-optimized structure of IrPbAu2.

Output
Calculated formation energy in eV/atom: 0.443
Uncorrected energy in eV/atom: -70.856
Symmetry: I4/mmm (139)
DOS at the Fermi energy in states/eV/f.u.: 2.260

Cell lengths 3.9237, 3.9237, 5.4451 Å; angles 111.12, 111.12, 90.00 degrees
Sites, in units of the cell vectors:
Ir 0.5000 0.5000 0.0000
Au 0.7500 0.2500 0.5000
Au 0.2500 0.7500 0.5000
Pb 0.0000 0.0000 0.0000


DFT (meta-GGA SCAN) results for a PBEsol-optimized structure of IrPbAu2.

Output
Calculated formation energy in eV/atom: 0.435
Uncorrected energy in eV/atom: -70.863
Symmetry: I-4m2 (119)
DOS at the Fermi energy in states/eV/f.u.: 1.834

Cell lengths 4.1196, 4.1183, 5.1222 Å; angles 113.70, 113.71, 90.00 degrees
Sites, in units of the cell vectors:
Ir 0.5000 0.5000 0.0000
Au 0.7501 0.2501 0.5001
Au 0.9999 0.9999 0.9999
Pb 0.2500 0.7500 0.4999


DFT (meta-GGA SCAN) results for a PBEsol-optimized structure of IrRhPbAu2.

Output
Calculated formation energy in eV/atom: 0.832
Uncorrected energy in eV/atom: -62.961
Symmetry: P4/mmm (123)
DOS at the Fermi energy in states/eV/f.u.: 3.916

Cell lengths 4.5745, 5.0375, 5.0375 Å; angles 90.00, 90.00, 90.00 degrees
Sites, in units of the cell vectors:
Rh 0.5000 0.0000 0.0000
Au 0.0000 0.5000 0.0000
Au 0.0000 0.0000 0.5000
Pb 0.5000 0.5000 0.5000
Ir 0.0000 0.0000 0.0000


DFT (meta-GGA SCAN) results for a PBEsol-optimized structure of YIrPb2Au.

Output
Calculated formation energy in eV/atom: -0.070
Uncorrected energy in eV/atom: -64.002
Symmetry: P4/mmm (123)
DOS at the Fermi energy in states/eV/f.u.: 3.296

Cell lengths 5.1271, 5.1271, 5.2574 Å; angles 90.00, 90.00, 90.00 degrees
Sites, in units of the cell vectors:
Pb 0.5000 0.0000 0.0000
Pb 0.0000 0.5000 0.0000
Au 0.5000 0.5000 0.5000
Y 0.0000 0.0000 0.5000
Ir 0.0000 0.0000 0.0000


DFT (meta-GGA SCAN) results for a PBEsol-optimized structure of Pm2IrAu.

Output
Calculated formation energy in eV/atom: -0.899
Uncorrected energy in eV/atom: -57.956
Symmetry: Fm-3m (225)
DOS at the Fermi energy in states/eV/f.u.: 2.145

Cell lengths 5.0068, 5.0068, 5.0068 Å; angles 60.00, 60.00, 60.00 degrees
Sites, in units of the cell vectors:
Pm 0.7500 0.7500 0.7500
Pm 0.2500 0.2500 0.2500
Au 0.0000 0.0000 0.0000
Ir 0.5000 0.5000 0.5000


Question: The lowest uncorrected energy belongs to which entry?
Answer: number 3


Question: The lowest uncorrected energy belongs to which entry?
Answer: number 3